4
Lattice="0.000 3.524 3.524 3.524 0.000 3.524 3.524 3.524 0.000" Properties=species:S:1:pos:R:3 comment="UInHgPt | the Alexandria database | GGA-PBE | relaxed" ef_mev_per_atom=-181.3 density_g_cm3=14.20 space_group="F-43m, No. 216" final_energy_ev_per_atom=-5.27 pbc="T T T"
U 0.000 0.000 0.000
In 3.524 3.524 3.524
Hg 5.286 5.286 5.286
Pt 1.762 1.762 1.762


5
Lattice="5.177 0.000 0.000 0.000 5.177 0.000 0.000 0.000 6.139" Properties=species:S:1:pos:R:3 comment="YInHgPt2 | the Alexandria database | GGA-PBE | relaxed" ef_mev_per_atom=586.8 density_g_cm3=8.02 space_group="P4/mmm, No. 123" final_energy_ev_per_atom=-3.73 pbc="T T T"
Y 0.000 0.000 0.000
In 0.000 0.000 3.069
Hg 2.589 2.589 3.069
Pt 0.000 2.589 0.000
Pt 2.589 0.000 0.000


5
Lattice="5.855 0.000 0.000 0.000 5.855 0.000 0.000 0.000 5.156" Properties=species:S:1:pos:R:3 comment="YInHg2Pt | the Alexandria database | GGA-PBE | relaxed" ef_mev_per_atom=326.1 density_g_cm3=7.52 space_group="P4/mmm, No. 123" final_energy_ev_per_atom=-2.84 pbc="T T T"
Y 0.000 0.000 0.000
In 2.928 2.928 2.578
Hg 0.000 2.928 0.000
Hg 2.928 0.000 0.000
Pt 0.000 0.000 2.578


5
Lattice="5.088 0.000 0.000 0.000 5.088 0.000 0.000 0.000 4.927" Properties=species:S:1:pos:R:3 comment="ZnIn2HgPt | the Alexandria database | GGA-PBE | relaxed" ef_mev_per_atom=547.4 density_g_cm3=8.99 de_polymorph_mev_per_atom=736 space_group="P4/mmm, No. 123" final_energy_ev_per_atom=-2.07 pbc="T T T"
Zn 0.000 0.000 0.000
In 0.000 2.544 0.000
In 2.544 0.000 0.000
Hg 0.000 0.000 2.463
Pt 2.544 2.544 2.463


5
Lattice="5.262 0.000 0.000 0.000 5.262 0.000 0.000 0.000 5.002" Properties=species:S:1:pos:R:3 comment="ZnIn2HgPt | the Alexandria database | GGA-PBE | relaxed" ef_mev_per_atom=-188.4 density_g_cm3=8.28 de_polymorph_mev_per_atom=0 space_group="P4/mmm, No. 123" final_energy_ev_per_atom=-2.81 pbc="T T T"
Zn 0.000 0.000 0.000
In 0.000 2.631 2.501
In 2.631 0.000 2.501
Hg 2.631 2.631 0.000
Pt 0.000 0.000 2.501


5
Lattice="5.288 0.000 0.000 0.000 5.288 0.000 0.000 0.000 4.876" Properties=species:S:1:pos:R:3 comment="Zr2InHgPt | the Alexandria database | GGA-PBE | relaxed" ef_mev_per_atom=824.7 density_g_cm3=8.44 space_group="P4/mmm, No. 123" final_energy_ev_per_atom=-4.41 pbc="T T T"
Zr 0.000 2.644 0.000
Zr 2.644 0.000 0.000
In 0.000 0.000 0.000
Hg 2.644 2.644 2.438
Pt 0.000 0.000 2.438


9
Lattice="5.217 0.000 0.000 -2.609 4.518 0.000 0.000 0.000 9.548" Properties=species:S:1:pos:R:3 comment="Pu2InHg6 | the Alexandria database | GGA-PBE | relaxed" ef_mev_per_atom=-108.0 density_g_cm3=13.33 de_polymorph_mev_per_atom=0 space_group="P-3m1, No. 164" final_energy_ev_per_atom=-3.80 pbc="T T T"
Pu 0.000 3.012 2.225
Pu 2.609 1.506 7.323
In 0.000 0.000 0.000
Hg 0.000 0.000 3.257
Hg 0.000 0.000 6.291
Hg 0.000 3.012 5.510
Hg 0.000 3.012 8.579
Hg 2.609 1.506 0.969
Hg 2.609 1.506 4.038


8
Lattice="8.991 -2.441 0.000 8.991 2.441 0.000 -1.259 0.000 4.613" Properties=species:S:1:pos:R:3 comment="Pu3In3Hg2 | the Alexandria database | GGA-PBE | relaxed" ef_mev_per_atom=-142.3 density_g_cm3=12.12 space_group="C2/m, No. 12" final_energy_ev_per_atom=-6.62 pbc="T T T"
Pu 0.000 0.000 0.000
Pu 1.492 0.000 2.896
Pu 15.232 0.000 1.717
In 5.508 0.000 3.997
In 8.362 0.000 2.306
In 11.216 0.000 0.616
Hg 4.165 0.000 1.149
Hg 12.559 0.000 3.464